## HgPd2Pb2 (GGA-PBE)

Data for an optimized crystal structure of HgPd2Pb2.

Cell and atoms, written as POSCAR:
```
HgPd2Pb2
1.0
3.882 0.000 1.654
1.253 4.981 2.442
-0.125 -0.233 5.676
Pd Pb Hg
2 2 1
direct
0.000 0.780 0.720
0.000 0.220 0.280
0.301 0.199 0.699
0.699 0.801 0.301
0.500 0.500 0.000
```

Summary:
E above lowest polymorph, meV per atom: 22
Space group: Immm

## HgPd4Pb2 (GGA-PBE)

Data for an optimized crystal structure of HgPd4Pb2.

Cell and atoms, written as POSCAR:
```
HgPd4Pb2
1.0
5.040 0.000 0.000
0.000 5.040 0.000
-2.520 -2.520 6.952
Pb Pd Hg
2 4 1
direct
0.381 0.381 0.762
0.619 0.619 0.238
0.192 0.192 0.385
0.808 0.808 0.615
0.000 0.500 0.000
0.500 0.000 0.000
0.000 0.000 0.000
```

Summary:
Total energy, eV/atom: -3.697
Space group: I4/mmm

## Hg5Pd2Pb4 (GGA-PBE)

Data for an optimized crystal structure of Hg5Pd2Pb4.

Cell and atoms, written as POSCAR:
```
Hg5Pd2Pb4
1.0
-0.004 -2.076 -3.148
7.475 0.985 -0.659
1.057 -8.227 5.424
Hg Pb Pd
5 4 2
direct
0.000 0.547 0.321
0.000 0.453 0.679
0.000 0.188 0.157
0.000 0.500 0.000
0.000 0.812 0.843
0.500 0.784 0.555
0.500 0.159 0.863
0.500 0.841 0.137
0.500 0.216 0.445
0.000 0.074 0.641
0.000 0.926 0.359
```

Summary:
Total energy, eV/atom: -2.516
Space group: P2/m

## Hg3PdPb6 (GGA-PBE)

Data for an optimized crystal structure of Hg3PdPb6.

Cell and atoms, written as POSCAR:
```
Hg3PdPb6
1.0
3.595 0.000 0.000
0.000 11.527 -4.790
0.000 -0.435 13.886
Hg Pb Pd
6 12 2
direct
0.250 0.890 0.953
0.250 0.322 0.459
0.750 0.678 0.541
0.250 0.592 0.101
0.750 0.110 0.047
0.750 0.408 0.899
0.250 0.161 0.863
0.750 0.898 0.759
0.250 0.102 0.241
0.750 0.718 0.321
0.750 0.839 0.137
0.250 0.622 0.880
0.750 0.378 0.120
0.250 0.482 0.344
0.250 0.282 0.679
0.750 0.088 0.453
0.750 0.518 0.656
0.250 0.912 0.547
0.750 0.096 0.679
0.250 0.904 0.321
```

Summary:
Total energy, eV/atom: -2.856
Space group: P2_1/m

## HgPdPb2 (GGA-PBE)

Data for an optimized crystal structure of HgPdPb2.

Cell and atoms, written as POSCAR:
```
HgPdPb2
1.0
3.424 0.000 0.000
0.000 3.424 0.000
0.000 0.000 8.801
Pb Pd Hg
2 1 1
direct
0.000 0.000 0.198
0.000 0.000 0.802
0.500 0.500 0.000
0.500 0.500 0.500
```

Summary:
Total energy, eV/atom: -3.361
Space group: P4/mmm

## Hg3Pd5Pb12 (GGA-PBE)

Data for an optimized crystal structure of Hg3Pd5Pb12.

Cell and atoms, written as POSCAR:
```
Hg3Pd5Pb12
1.0
14.615 0.000 0.000
-4.872 13.779 0.000
-4.872 -6.889 11.933
Hg Pb Pd
12 48 20
direct
0.125 0.250 0.875
0.250 0.625 0.875
0.625 0.375 0.750
0.750 0.375 0.125
0.625 0.250 0.375
0.875 0.125 0.250
0.125 0.875 0.750
0.750 0.875 0.625
0.375 0.750 0.625
0.250 0.125 0.375
0.375 0.625 0.250
0.875 0.750 0.125
0.118 0.717 0.543
0.882 0.283 0.457
0.957 0.382 0.283
0.826 0.925 0.043
0.717 0.599 0.174
0.599 0.717 0.674
0.326 0.543 0.425
0.174 0.099 0.717
0.901 0.075 0.618
0.217 0.674 0.099
0.575 0.957 0.674
0.882 0.599 0.925
0.543 0.326 0.925
0.425 0.043 0.326
0.099 0.925 0.382
0.618 0.575 0.901
0.925 0.099 0.882
0.075 0.901 0.118
0.401 0.283 0.326
0.283 0.882 0.957
0.326 0.783 0.401
0.575 0.618 0.401
0.118 0.401 0.075
0.382 0.957 0.783
0.783 0.457 0.382
0.674 0.217 0.599
0.043 0.618 0.717
0.457 0.783 0.882
0.618 0.043 0.217
0.283 0.401 0.826
0.957 0.575 0.174
0.075 0.174 0.457
0.382 0.425 0.099
0.543 0.217 0.118
0.599 0.882 0.425
0.217 0.543 0.618
0.099 0.174 0.217
0.457 0.674 0.075
0.401 0.118 0.575
0.783 0.326 0.901
0.826 0.901 0.283
0.174 0.075 0.957
0.925 0.826 0.543
0.043 0.425 0.826
0.717 0.118 0.043
0.674 0.457 0.575
0.901 0.826 0.783
0.425 0.382 0.599
0.500 0.000 0.500
0.250 0.375 0.625
0.875 0.250 0.625
0.125 0.375 0.250
0.000 0.500 0.000
0.500 0.000 0.000
0.625 0.875 0.250
0.375 0.125 0.750
0.250 0.875 0.125
0.000 0.000 0.500
0.125 0.750 0.375
0.500 0.500 0.000
0.375 0.250 0.125
0.875 0.625 0.750
0.625 0.750 0.875
0.750 0.125 0.875
0.000 0.500 0.500
0.500 0.500 0.500
0.750 0.625 0.375
0.000 0.000 0.000
```

Summary:
Total energy, eV/atom: -3.512
Space group: Ia-3d

## HgPd12Pb3 (GGA-PBE)

Data for an optimized crystal structure of HgPd12Pb3.

Cell and atoms, written as POSCAR:
```
HgPd12Pb3
1.0
4.091 0.000 0.000
0.000 4.091 0.000
0.000 0.000 16.434
Pd Pb Hg
12 3 1
direct
0.500 0.500 0.749
0.500 0.000 0.876
0.000 0.500 0.374
0.500 0.500 0.000
0.500 0.000 0.124
0.000 0.500 0.876
0.500 0.000 0.626
0.500 0.500 0.500
0.000 0.500 0.124
0.000 0.500 0.626
0.500 0.000 0.374
0.500 0.500 0.251
0.000 0.000 0.247
0.000 0.000 0.753
0.000 0.000 0.500
0.000 0.000 0.000
```

Summary:
Total energy, eV/atom: -4.842
Space group: P4/mmm

## HgPd6Pb (GGA-PBE)

Data for an optimized crystal structure of HgPd6Pb.

Cell and atoms, written as POSCAR:
```
HgPd6Pb
1.0
-0.608 3.308 2.379
-5.678 -0.599 -0.619
-0.143 -3.369 4.648
Pd Hg Pb
6 1 1
direct
0.000 0.251 0.251
0.000 0.749 0.749
0.000 0.749 0.251
0.500 0.500 0.000
0.000 0.251 0.749
0.500 0.000 0.500
0.500 0.500 0.500
0.500 0.000 0.000
```

Summary:
E above lowest polymorph, meV per atom: 0
Space group: Cmmm

## HgPd6Pb (GGA-PBE)

Data for an optimized crystal structure of HgPd6Pb.

Cell and atoms, written as POSCAR:
```
HgPd6Pb
1.0
4.099 0.000 0.000
0.000 4.099 0.000
0.000 0.000 8.090
Pd Hg Pb
6 1 1
direct
0.000 0.500 0.249
0.000 0.500 0.751
0.500 0.500 0.000
0.500 0.000 0.751
0.500 0.500 0.500
0.500 0.000 0.249
0.000 0.000 0.000
0.000 0.000 0.500
```

Summary:
E above lowest polymorph, meV per atom: 8
Space group: P4/mmm

## HgPd2Pb2 (GGA-PBE)

Data for an optimized crystal structure of HgPd2Pb2.

Cell and atoms, written as POSCAR:
```
HgPd2Pb2
1.0
7.686 0.000 0.000
0.000 7.686 0.000
0.000 0.000 3.786
Pb Hg Pd
4 2 4
direct
0.341 0.159 0.500
0.841 0.341 0.500
0.659 0.841 0.500
0.159 0.659 0.500
0.000 0.000 0.000
0.500 0.500 0.000
0.863 0.637 0.000
0.137 0.363 0.000
0.637 0.137 0.000
0.363 0.863 0.000
```

Summary:
E above lowest polymorph, meV per atom: 0
Space group: P4/mbm

## HgPd2Pb2 (GGA-PBE)

Data for an optimized crystal structure of HgPd2Pb2.

Cell and atoms, written as POSCAR:
```
HgPd2Pb2
1.0
4.721 0.000 0.000
0.000 4.721 0.000
2.360 2.360 5.699
Pb Pd Hg
2 2 1
direct
0.750 0.250 0.500
0.250 0.750 0.500
0.385 0.385 0.230
0.615 0.615 0.770
0.000 0.000 0.000
```

Summary:
E above lowest polymorph, meV per atom: 234
Space group: I4/mmm

## HgPd2Pb4 (GGA-PBE)

Data for an optimized crystal structure of HgPd2Pb4.

Cell and atoms, written as POSCAR:
```
HgPd2Pb4
1.0
4.712 0.000 0.000
2.356 4.081 0.000
2.356 1.360 9.578
Pb Hg Pd
4 1 2
direct
0.798 0.798 0.605
0.610 0.610 0.171
0.390 0.390 0.829
0.202 0.202 0.395
0.000 0.000 0.000
0.900 0.900 0.299
0.100 0.100 0.701
```

Summary:
Total energy, eV/atom: -3.782
Space group: R-3m

Please write out number 10 again, unchanged.
## HgPd2Pb2 (GGA-PBE)

Data for an optimized crystal structure of HgPd2Pb2.

Cell and atoms, written as POSCAR:
```
HgPd2Pb2
1.0
7.686 0.000 0.000
0.000 7.686 0.000
0.000 0.000 3.786
Pb Hg Pd
4 2 4
direct
0.341 0.159 0.500
0.841 0.341 0.500
0.659 0.841 0.500
0.159 0.659 0.500
0.000 0.000 0.000
0.500 0.500 0.000
0.863 0.637 0.000
0.137 0.363 0.000
0.637 0.137 0.000
0.363 0.863 0.000
```

Summary:
E above lowest polymorph, meV per atom: 0
Space group: P4/mbm